1.
DFT (GGA-PBE) results for DyLuZnHg after structural relaxation.

```
DyLuZnHg
1.0
0.0000 3.6184 3.6184
3.6184 0.0000 3.6184
3.6184 3.6184 0.0000
Dy Lu Zn Hg
1 1 1 1
Direct
0.0000 0.0000 0.0000
0.5000 0.5000 0.5000
0.7500 0.7500 0.7500
0.2500 0.2500 0.2500
```

Results
M_tot ... 0.000 μB per atom
Energy of formation from the pure elements ... -0.396 eV/atom
DOS(E_F) ... 3.52 states/eV per cell
Symmetry ... No. 216
Total energy ... -3.0708 eV/atom

***

2.
DFT (GGA-PBE) results for DyMg2Hg after structural relaxation.

```
DyMg2Hg
1.0
0.0000 3.5685 3.5685
3.5685 0.0000 3.5685
3.5685 3.5685 0.0000
Dy Mg Hg
1 2 1
Direct
0.0000 0.0000 0.0000
0.2500 0.2500 0.2500
0.7500 0.7500 0.7500
0.5000 0.5000 0.5000
```

Results
Energy relative to the lowest polymorph listed for this composition ... 135.1 meV per atom
M_tot ... 0.000 μB per atom
Energy of formation from the pure elements ... -0.131 eV/atom
DOS(E_F) ... 2.27 states/eV per cell
Symmetry ... No. 225
Total energy ... -2.1543 eV/atom

***

3.
DFT (GGA-PBE) results for DyMg2Hg after structural relaxation.

```
DyMg2Hg
1.0
-2.5524 2.5524 3.5760
2.5524 -2.5524 3.5760
2.5524 2.5524 -3.5760
Dy Mg Hg
1 2 1
Direct
0.0000 0.0000 0.0000
0.5000 0.5000 0.0000
0.7500 0.2500 0.5000
0.2500 0.7500 0.5000
```

Results
Energy relative to the lowest polymorph listed for this composition ... 0.0 meV per atom
M_tot ... 0.000 μB per atom
Energy of formation from the pure elements ... -0.266 eV/atom
DOS(E_F) ... 1.94 states/eV per cell
Symmetry ... No. 119
Total energy ... -2.2894 eV/atom